UNbCoO6 after structural relaxation. Source: the Alexandria database, functional PBE with a Hubbard U. Values from VASP.

```
&SYSTEM
  ibrav = 0, nat = 18, ntyp = 4
/
ATOMIC_SPECIES
Nb 92.91 Nb.upf
O 16.00 O.upf
U 238.03 U.upf
Co 58.93 Co.upf
ATOMIC_POSITIONS angstrom
Nb 2.7535 1.5897 2.2155
O 3.6286 3.0832 3.2717
Nb 0.0000 3.1795 6.6466
U 2.7535 1.5897 6.6466
O -0.8559 4.6841 5.5904
O 0.8751 1.6860 7.7028
O -0.8751 1.6860 5.5904
O 1.7309 3.1684 5.5904
Co 0.0000 0.0000 0.0000
U 0.0000 3.1795 2.2155
O 4.4845 1.6009 1.1593
O 1.8784 3.0832 1.1593
O -1.7309 3.1684 7.7028
O 1.0226 1.6009 3.2717
O 0.8559 4.6841 7.7028
O 3.6094 0.0852 3.2717
O 1.8977 0.0852 1.1593
Co 0.0000 0.0000 4.4311
CELL_PARAMETERS angstrom
5.5071 0.0000 0.0000
-2.7535 4.7693 0.0000
0.0000 0.0000 8.8621
```

Output
Fermi-level density of states	5.2	states/eV per cell
M_tot	4.0	μB per formula unit
total DFT energy (no corrections)	-8.605	eV/atom
calculated volume	12.9	Å³/atom
SG	No. 163